Entry i
Density functional theory data (PBE) for a relaxed PmSiAg crystal.

abc: 4.671 4.671 4.671
angles: 60.00 60.00 60.00
Fractional coordinates of all 3 atoms:
Ag: 0.250 0.250 0.250
Pm: 0.750 0.750 0.750
Si: 0.000 0.000 0.000

Values from the calculation:
**Crystal system**: cubic

Entry ii
Density functional theory data (PBE) for a relaxed PmSiAg crystal.

abc: 4.829 4.829 4.829
angles: 60.00 60.00 60.00
Fractional coordinates of all 3 atoms:
Ag: 0.250 0.250 0.250
Pm: 0.000 0.000 0.000
Si: 0.750 0.750 0.750

Values from the calculation:
**Crystal system**: cubic

Stability ranking, top entry: entry i; the second entry is 555 meV/atom less favorable.

Entry i
Density functional theory data (PBE) for a relaxed PmAgSn crystal.

abc: 4.948 4.948 4.948
angles: 60.00 60.00 60.00
Fractional coordinates of all 3 atoms:
Ag: 0.000 0.000 0.000
Pm: 0.500 0.500 0.500
Sn: 0.750 0.750 0.750

Values from the calculation:
**Crystal system**: cubic

Entry ii
Density functional theory data (PBE) for a relaxed PmAgSn crystal.

abc: 4.788 4.788 7.620
angles: 90.00 90.00 120.01
Fractional coordinates of all 6 atoms:
Ag: 0.833 0.167 0.250
Ag: 0.167 0.833 0.750
Pm: 0.500 0.500 0.000
Pm: 0.500 0.500 0.500
Sn: 0.167 0.833 0.250
Sn: 0.833 0.167 0.750

Values from the calculation:
**Crystal system**: hexagonal

Stability ranking, top entry: entry ii; the second entry is 206 meV/atom less favorable.

Entry i
Density functional theory data (PBE) for a relaxed Pr2AgS3 crystal.

abc: 8.738 3.991 15.937
angles: 90.00 90.00 90.00
Fractional coordinates of all 24 atoms:
Ag: 0.584 0.250 0.109
Ag: 0.084 0.250 0.391
Ag: 0.916 0.750 0.609
Ag: 0.416 0.750 0.891
Pr: 0.194 0.250 0.048
Pr: 0.897 0.750 0.219
Pr: 0.397 0.750 0.281
Pr: 0.694 0.250 0.452
Pr: 0.306 0.750 0.548
Pr: 0.603 0.250 0.719
Pr: 0.103 0.250 0.781
Pr: 0.806 0.750 0.952
S: 0.870 0.250 0.079
S: 0.409 0.750 0.098
S: 0.152 0.250 0.229
S: 0.652 0.250 0.271
S: 0.909 0.750 0.402
S: 0.370 0.250 0.421
S: 0.630 0.750 0.579
S: 0.091 0.250 0.598
S: 0.348 0.750 0.729
S: 0.848 0.750 0.771
S: 0.591 0.250 0.902
S: 0.130 0.750 0.921

Values from the calculation:
**Crystal system**: orthorhombic

Entry ii
Density functional theory data (PBE) for a relaxed Pr2AgS3 crystal.

abc: 10.605 3.989 13.347
angles: 90.00 90.00 90.00
Fractional coordinates of all 24 atoms:
Ag: 0.227 0.250 0.234
Ag: 0.727 0.250 0.266
Ag: 0.273 0.750 0.734
Ag: 0.773 0.750 0.766
Pr: 0.211 0.750 0.015
Pr: 0.477 0.750 0.240
Pr: 0.977 0.750 0.260
Pr: 0.711 0.750 0.485
Pr: 0.289 0.250 0.515
Pr: 0.023 0.250 0.740
Pr: 0.523 0.250 0.760
Pr: 0.789 0.250 0.985
S: 0.390 0.250 0.098
S: 0.041 0.250 0.108
S: 0.733 0.750 0.145
S: 0.233 0.750 0.355
S: 0.541 0.250 0.392
S: 0.890 0.250 0.402
S: 0.110 0.750 0.598
S: 0.459 0.750 0.608
S: 0.767 0.250 0.645
S: 0.267 0.250 0.855
S: 0.959 0.750 0.892
S: 0.610 0.750 0.902

Values from the calculation:
**Crystal system**: orthorhombic

Stability ranking, top entry: entry i; the second entry is 15 meV/atom less favorable.

Entry i
Density functional theory data (PBE) for a relaxed RbAgPt crystal.

abc: 5.050 5.050 5.050
angles: 60.00 60.00 60.00
Fractional coordinates of all 3 atoms:
Ag: 0.250 0.250 0.250
Pt: 0.750 0.750 0.750
Rb: 0.000 0.000 0.000

Values from the calculation:
**Crystal system**: cubic

Entry ii
Density functional theory data (PBE) for a relaxed RbAgPt crystal.

abc: 4.953 4.953 4.953
angles: 60.00 60.00 60.00
Fractional coordinates of all 3 atoms:
Ag: 0.250 0.250 0.250
Pt: 0.000 0.000 0.000
Rb: 0.750 0.750 0.750

Values from the calculation:
**Crystal system**: cubic

Stability ranking, top entry: entry ii; the second entry is 564 meV/atom less favorable.

Entry i
Density functional theory data (PBE) for a relaxed RbAgPtS3 crystal.

abc: 13.375 3.802 11.044
angles: 90.00 90.00 90.00
Fractional coordinates of all 24 atoms:
Ag: 0.234 0.750 0.218
Ag: 0.734 0.750 0.282
Ag: 0.266 0.250 0.718
Ag: 0.766 0.250 0.782
Pt: 0.977 0.250 0.136
Pt: 0.477 0.250 0.364
Pt: 0.523 0.750 0.636
Pt: 0.023 0.750 0.864
Rb: 0.644 0.250 0.043
Rb: 0.144 0.250 0.457
Rb: 0.856 0.750 0.543
Rb: 0.356 0.750 0.957
S: 0.904 0.750 0.027
S: 0.354 0.250 0.205
S: 0.055 0.750 0.237
S: 0.555 0.750 0.263
S: 0.854 0.250 0.295
S: 0.404 0.750 0.473
S: 0.596 0.250 0.527
S: 0.146 0.750 0.705
S: 0.445 0.250 0.737
S: 0.945 0.250 0.763
S: 0.646 0.750 0.795
S: 0.096 0.250 0.973

Values from the calculation:
**Crystal system**: orthorhombic

Entry ii
Density functional theory data (PBE) for a relaxed RbAgPtS3 crystal.

abc: 8.242 3.828 9.643
angles: 90.00 108.65 90.00
Fractional coordinates of all 12 atoms:
Ag: 0.558 0.250 0.104
Ag: 0.442 0.750 0.896
Pt: 0.846 0.750 0.362
Pt: 0.154 0.250 0.638
Rb: 0.238 0.750 0.197
Rb: 0.762 0.250 0.803
S: 0.773 0.750 0.094
S: 0.665 0.250 0.377
S: 0.035 0.250 0.378
S: 0.965 0.750 0.622
S: 0.335 0.750 0.623
S: 0.227 0.250 0.906

Values from the calculation:
**Crystal system**: monoclinic

Entry iii
Density functional theory data (PBE) for a relaxed RbAgPtS3 crystal.

abc: 7.808 7.808 10.207
angles: 90.00 90.00 152.29
Site moments in Bohr magnetons follow the coordinates.
Fractional coordinates of all 12 atoms:
Ag: 0.925 0.075 0.250  0.02
Ag: 0.075 0.925 0.750  0.02
Pt: 0.500 0.500 0.000  0.01
Pt: 0.500 0.500 0.500  0.01
Rb: 0.229 0.771 0.250  0.00
Rb: 0.771 0.229 0.750  0.00
S: 0.898 0.102 0.016  0.00
S: 0.545 0.455 0.250  0.09
S: 0.898 0.102 0.484  0.00
S: 0.102 0.898 0.516  0.00
S: 0.455 0.545 0.750  0.09
S: 0.102 0.898 0.984  0.00

Values from the calculation:
**Crystal system**: orthorhombic

Stability ranking, top entry: entry i; the second entry is 19 meV/atom less favorable.

Entry i
Density functional theory data (PBE) for a relaxed AgPtW crystal.

abc: 4.312 4.312 4.312
angles: 60.00 60.00 60.00
Fractional coordinates of all 3 atoms:
Ag: 0.250 0.250 0.250
Pt: 0.000 0.000 0.000
W: 0.750 0.750 0.750

Values from the calculation:
**Crystal system**: cubic

Entry ii
Density functional theory data (PBE) for a relaxed AgPtW crystal.

abc: 4.339 4.339 4.339
angles: 60.00 60.00 60.00
Fractional coordinates of all 3 atoms:
Ag: 0.250 0.250 0.250
Pt: 0.750 0.750 0.750
W: 0.000 0.000 0.000

Values from the calculation:
**Crystal system**: cubic

Stability ranking, top entry: entry i; the second entry is 203 meV/atom less favorable.